Record 1
Crystalline Nd5Ti5O17 at its relaxed geometry, computed with PBE.

Cell lengths 7.780, 5.502, 32.019 Å; angles 90.00, 97.01, 90.00 degrees
Atoms (fractional coordinates):
1 Nd 0.142 0.111 0.279
2 Nd 0.142 0.389 0.779
3 Nd 0.209 0.511 0.417
4 Nd 0.209 0.989 0.917
5 Nd 0.254 0.507 0.007
6 Nd 0.254 0.993 0.507
7 Nd 0.300 0.002 0.097
8 Nd 0.300 0.498 0.597
9 Nd 0.357 0.539 0.202
10 Nd 0.357 0.961 0.702
11 Nd 0.643 0.039 0.298
12 Nd 0.643 0.461 0.798
13 Nd 0.700 0.502 0.403
14 Nd 0.700 0.998 0.903
15 Nd 0.746 0.007 0.493
16 Nd 0.746 0.493 0.993
17 Nd 0.791 0.011 0.083
18 Nd 0.791 0.489 0.583
19 Nd 0.858 0.611 0.221
20 Nd 0.858 0.889 0.721
21 Ti 0.000 0.000 0.000
22 Ti 0.000 0.500 0.500
23 Ti 0.047 0.517 0.093
24 Ti 0.047 0.983 0.593
25 Ti 0.079 0.040 0.176
26 Ti 0.079 0.460 0.676
27 Ti 0.406 0.550 0.322
28 Ti 0.406 0.950 0.822
29 Ti 0.455 0.015 0.406
30 Ti 0.455 0.485 0.906
31 Ti 0.500 0.000 0.000
32 Ti 0.500 0.500 0.500
33 Ti 0.545 0.515 0.094
34 Ti 0.545 0.985 0.594
35 Ti 0.594 0.050 0.178
36 Ti 0.594 0.450 0.678
37 Ti 0.921 0.540 0.324
38 Ti 0.921 0.960 0.824
39 Ti 0.953 0.017 0.407
40 Ti 0.953 0.483 0.907
41 O 0.022 0.709 0.965
42 O 0.022 0.791 0.465
43 O 0.036 0.197 0.119
44 O 0.036 0.303 0.619
45 O 0.065 0.709 0.551
46 O 0.065 0.791 0.051
47 O 0.081 0.190 0.711
48 O 0.081 0.310 0.211
49 O 0.129 0.714 0.137
50 O 0.129 0.786 0.637
51 O 0.133 0.678 0.721
52 O 0.133 0.822 0.221
53 O 0.166 0.053 0.830
54 O 0.166 0.447 0.330
55 O 0.206 0.073 0.411
56 O 0.206 0.427 0.911
57 O 0.248 0.077 0.996
58 O 0.248 0.423 0.496
59 O 0.291 0.073 0.581
60 O 0.291 0.427 0.081
61 O 0.337 0.109 0.171
62 O 0.337 0.391 0.671
63 O 0.368 0.663 0.796
64 O 0.368 0.837 0.296
65 O 0.405 0.159 0.774
66 O 0.405 0.341 0.274
67 O 0.418 0.693 0.381
68 O 0.418 0.807 0.881
69 O 0.443 0.709 0.965
70 O 0.443 0.791 0.465
71 O 0.486 0.709 0.552
72 O 0.486 0.791 0.052
73 O 0.493 0.210 0.361
74 O 0.493 0.290 0.861
75 O 0.507 0.710 0.139
76 O 0.507 0.790 0.639
77 O 0.514 0.209 0.948
78 O 0.514 0.291 0.448
79 O 0.557 0.209 0.535
80 O 0.557 0.291 0.035
81 O 0.582 0.193 0.119
82 O 0.582 0.307 0.619
83 O 0.595 0.659 0.726
84 O 0.595 0.841 0.226
85 O 0.632 0.163 0.704
86 O 0.632 0.337 0.204
87 O 0.663 0.609 0.329
88 O 0.663 0.891 0.829
89 O 0.709 0.573 0.919
90 O 0.709 0.927 0.419
91 O 0.752 0.577 0.504
92 O 0.752 0.923 0.004
93 O 0.794 0.573 0.089
94 O 0.794 0.927 0.589
95 O 0.834 0.553 0.670
96 O 0.834 0.947 0.170
97 O 0.867 0.178 0.779
98 O 0.867 0.322 0.279
99 O 0.871 0.214 0.363
100 O 0.871 0.286 0.863
101 O 0.919 0.690 0.789
102 O 0.919 0.810 0.289
103 O 0.935 0.209 0.949
104 O 0.935 0.291 0.449
105 O 0.964 0.697 0.381
106 O 0.964 0.803 0.881
107 O 0.978 0.209 0.535
108 O 0.978 0.291 0.035

Values from the calculation:
As for the uncorrected energy: -235.787 eV per formula unit. The calculation puts the volume at 12.6 Å³/atom. Its formation energy (no corrections) is -3.27 eV per atom. Its crystal system is monoclinic.


Record 2
Crystalline Nd3SmZn at its relaxed geometry, computed with PBE.

Cell lengths 7.566, 7.566, 7.968 Å; angles 121.52, 121.52, 73.99 degrees
Atoms (fractional coordinates):
1 Nd 0.054 0.054 0.325
2 Nd 0.079 0.462 0.240
3 Nd 0.462 0.079 0.240
4 Nd 0.538 0.921 0.760
5 Nd 0.921 0.538 0.760
6 Nd 0.946 0.946 0.675
7 Sm 0.436 0.436 0.732
8 Sm 0.564 0.564 0.268
9 Zn 0.255 0.255 0.882
10 Zn 0.745 0.745 0.118

Values from the calculation:
As for the uncorrected energy: -20.011 eV per formula unit. The calculation puts the volume at 33.1 Å³/atom. The calculation puts the energy relative to the lowest polymorph listed for this composition at 0.856 eV/f.u. Its crystal system is monoclinic.


Record 3
Crystalline Ba2HfGa at its relaxed geometry, computed with PBE.

Cell lengths 9.317, 9.317, 6.374 Å; angles 90.00, 90.00, 90.00 degrees
Atoms (fractional coordinates):
1 Ba 0.219 0.750 0.125
2 Ba 0.250 0.219 0.875
3 Ba 0.250 0.281 0.375
4 Ba 0.281 0.750 0.625
5 Ba 0.719 0.250 0.625
6 Ba 0.750 0.719 0.375
7 Ba 0.750 0.781 0.875
8 Ba 0.781 0.250 0.125
9 Hf 0.000 0.000 0.500
10 Hf 0.000 0.500 0.750
11 Hf 0.500 0.000 0.250
12 Hf 0.500 0.500 0.000
13 Ga 0.000 0.000 0.000
14 Ga 0.000 0.500 0.250
15 Ga 0.500 0.000 0.750
16 Ga 0.500 0.500 0.500

Values from the calculation:
As for the uncorrected energy: -14.319 eV per formula unit. The calculation puts the volume at 34.6 Å³/atom. Its crystal system is tetragonal.


Record 4
Crystalline Sr2Sn4Hg3Au at its relaxed geometry, computed with PBE.

Cell lengths 4.913, 4.913, 11.907 Å; angles 90.00, 90.00, 90.00 degrees
Atoms (fractional coordinates):
1 Sr 0.000 0.500 0.227
2 Sr 0.500 0.000 0.773
3 Sn 0.000 0.000 0.500
4 Sn 0.000 0.500 0.877
5 Sn 0.500 0.000 0.123
6 Sn 0.500 0.500 0.500
7 Hg 0.000 0.000 0.000
8 Hg 0.000 0.500 0.644
9 Hg 0.500 0.000 0.356
10 Au 0.500 0.500 0.000

Values from the calculation:
As for the uncorrected energy: -27.113 eV per formula unit. The calculation puts the volume at 28.7 Å³/atom. Its crystal system is tetragonal.


Record 5
Crystalline Pr2SnSb3 at its relaxed geometry, computed with PBE.

Cell lengths 4.437, 6.464, 13.907 Å; angles 90.00, 90.00, 90.00 degrees
Atoms (fractional coordinates):
1 Pr 0.000 0.000 0.166
2 Pr 0.000 0.000 0.834
3 Pr 0.500 0.500 0.334
4 Pr 0.500 0.500 0.666
5 Sn 0.000 0.000 0.500
6 Sn 0.500 0.500 0.000
7 Sb 0.000 0.500 0.167
8 Sb 0.000 0.500 0.500
9 Sb 0.000 0.500 0.833
10 Sb 0.500 0.000 0.000
11 Sb 0.500 0.000 0.333
12 Sb 0.500 0.000 0.667

Values from the calculation:
As for the uncorrected energy: -29.858 eV per formula unit. The calculation puts the volume at 33.2 Å³/atom. Its formation energy (no corrections) is -0.65 eV per atom. Its crystal system is orthorhombic.


Record 6
Crystalline PmHo2Ag6 at its relaxed geometry, computed with PBE.

Cell lengths 8.933, 8.933, 5.330 Å; angles 98.34, 98.34, 75.89 degrees
Atoms (fractional coordinates):
1 Pm 0.125 0.875 0.750
2 Pm 0.875 0.125 0.250
3 Ho 0.209 0.457 0.913
4 Ho 0.457 0.209 0.413
5 Ho 0.543 0.791 0.587
6 Ho 0.791 0.543 0.087
7 Ag 0.017 0.754 0.193
8 Ag 0.100 0.352 0.357
9 Ag 0.246 0.983 0.307
10 Ag 0.325 0.565 0.470
11 Ag 0.352 0.100 0.857
12 Ag 0.435 0.675 0.030
13 Ag 0.565 0.325 0.970
14 Ag 0.648 0.900 0.143
15 Ag 0.675 0.435 0.530
16 Ag 0.754 0.017 0.693
17 Ag 0.900 0.648 0.643
18 Ag 0.983 0.246 0.807

Values from the calculation:
As for the uncorrected energy: -32.773 eV per formula unit. The calculation puts the volume at 22.5 Å³/atom. Its crystal system is monoclinic.


Record 7
Crystalline TmTh2GaN5 at its relaxed geometry, computed with PBE.

Cell lengths 7.203, 7.203, 10.450 Å; angles 90.00, 90.00, 152.12 degrees
Atoms (fractional coordinates):
1 Tm 0.204 0.796 0.500
2 Tm 0.796 0.204 0.000
3 Th 0.122 0.878 0.194
4 Th 0.131 0.869 0.793
5 Th 0.869 0.131 0.293
6 Th 0.878 0.122 0.694
7 Ga 0.492 0.508 0.986
8 Ga 0.508 0.492 0.486
9 N 0.043 0.957 0.564
10 N 0.296 0.704 0.160
11 N 0.304 0.696 0.847
12 N 0.364 0.636 0.516
13 N 0.499 0.501 0.295
14 N 0.501 0.499 0.795
15 N 0.636 0.364 0.016
16 N 0.696 0.304 0.347
17 N 0.704 0.296 0.660
18 N 0.957 0.043 0.064

Values from the calculation:
As for the uncorrected energy: -74.222 eV per formula unit. The calculation puts the volume at 14.1 Å³/atom. Its formation energy (no corrections) is -1.14 eV per atom. Its crystal system is orthorhombic.